Record 1
# Al2TlSi GGA-PBEsol relaxed
# - Total DFT energy (no corrections): -15.10 eV/cell
# - Crystal system: tetragonal
# - SG: No. 119
# - Energy relative to the lowest polymorph listed for this composition: 106.7 meV per atom
# - DOS at the Fermi energy: 1.72 states/eV/f.u.
data_Al2TlSi
_chemical_formula_sum 'Al2 Tl1 Si1'
_symmetry_space_group_name_H-M 'P 1'
_symmetry_Int_Tables_number 1
_cell_length_a 3.988
_cell_length_b 3.988
_cell_length_c 5.568
_cell_angle_alpha 110.98
_cell_angle_beta 110.98
_cell_angle_gamma 90.00
loop_
_symmetry_equiv_pos_as_xyz
'x,y,z'
loop_
_atom_site_label
_atom_site_fract_x
_atom_site_fract_y
_atom_site_fract_z
Al1 0.750 0.250 0.500
Al2 0.000 0.000 0.000
Tl1 0.250 0.750 0.500
Si1 0.500 0.500 0.000

Record 2
# Tm2Al3Si2 GGA-PBEsol relaxed
# - Total DFT energy (no corrections): -37.61 eV/cell
# - Crystal system: monoclinic
# - SG: No. 12
# - DOS at the Fermi energy: 1.98 states/eV/f.u.
data_Tm2Al3Si2
_chemical_formula_sum 'Tm2 Al3 Si2'
_symmetry_space_group_name_H-M 'P 1'
_symmetry_Int_Tables_number 1
_cell_length_a 3.986
_cell_length_b 5.358
_cell_length_c 6.487
_cell_angle_alpha 99.66
_cell_angle_beta 90.00
_cell_angle_gamma 111.84
loop_
_symmetry_equiv_pos_as_xyz
'x,y,z'
loop_
_atom_site_label
_atom_site_fract_x
_atom_site_fract_y
_atom_site_fract_z
Si1 0.094 0.189 0.139
Tm1 0.619 0.237 0.823
Si2 0.906 0.811 0.861
Al1 0.695 0.391 0.367
Tm2 0.381 0.763 0.177
Al2 0.305 0.609 0.633
Al3 0.000 0.000 0.500

Record 3
# TmAlSi GGA-PBEsol relaxed
# - Total DFT energy (no corrections): -33.42 eV/cell
# - Crystal system: orthorhombic
# - SG: No. 63
# - DOS at the Fermi energy: 0.91 states/eV/f.u.
data_TmAlSi
_chemical_formula_sum 'Tm2 Al2 Si2'
_symmetry_space_group_name_H-M 'P 1'
_symmetry_Int_Tables_number 1
_cell_length_a 3.959
_cell_length_b 5.387
_cell_length_c 5.595
_cell_angle_alpha 90.00
_cell_angle_beta 90.00
_cell_angle_gamma 111.56
loop_
_symmetry_equiv_pos_as_xyz
'x,y,z'
loop_
_atom_site_label
_atom_site_fract_x
_atom_site_fract_y
_atom_site_fract_z
Tm1 0.695 0.391 0.250
Si1 0.399 0.798 0.250
Al1 0.000 0.000 0.000
Al2 0.000 0.000 0.500
Tm2 0.305 0.609 0.750
Si2 0.601 0.202 0.750

Record 4
# U2Al3Si3 GGA-PBEsol relaxed
# - Total DFT energy (no corrections): -56.06 eV/cell
# - Crystal system: orthorhombic
# - SG: No. 47
# - DOS at the Fermi energy: 9.53 states/eV/f.u.
data_U2Al3Si3
_chemical_formula_sum 'U2 Al3 Si3'
_symmetry_space_group_name_H-M 'P 1'
_symmetry_Int_Tables_number 1
_cell_length_a 4.091
_cell_length_b 4.191
_cell_length_c 7.934
_cell_angle_alpha 90.00
_cell_angle_beta 90.00
_cell_angle_gamma 90.00
loop_
_symmetry_equiv_pos_as_xyz
'x,y,z'
loop_
_atom_site_label
_atom_site_fract_x
_atom_site_fract_y
_atom_site_fract_z
U1 0.000 0.000 0.240
Al1 0.500 0.500 0.751
Al2 0.500 0.500 0.249
U2 0.000 0.000 0.760
Al3 0.000 0.500 0.500
Si1 0.000 0.500 0.000
Si2 0.500 0.000 0.000
Si3 0.500 0.000 0.500

Record 5
# AlV12Si3 GGA-PBEsol relaxed
# - Total DFT energy (no corrections): -143.54 eV/cell
# - Crystal system: orthorhombic
# - SG: No. 47
# - DOS at the Fermi energy: 28.52 states/eV/f.u.
data_AlV12Si3
_chemical_formula_sum 'Al1 V12 Si3'
_symmetry_space_group_name_H-M 'P 1'
_symmetry_Int_Tables_number 1
_cell_length_a 4.661
_cell_length_b 4.683
_cell_length_c 9.359
_cell_angle_alpha 90.00
_cell_angle_beta 90.00
_cell_angle_gamma 90.00
loop_
_symmetry_equiv_pos_as_xyz
'x,y,z'
loop_
_atom_site_label
_atom_site_fract_x
_atom_site_fract_y
_atom_site_fract_z
V1 0.251 0.000 0.500
V2 0.239 0.000 0.000
V3 0.749 0.000 0.500
Si1 0.000 0.000 0.749
V4 0.500 0.246 0.255
V5 0.000 0.500 0.626
V6 0.000 0.500 0.870
V7 0.500 0.754 0.255
Al1 0.500 0.500 0.000
V8 0.761 0.000 0.000
V9 0.000 0.500 0.374
V10 0.500 0.246 0.745
V11 0.000 0.500 0.130
V12 0.500 0.754 0.745
Si2 0.500 0.500 0.500
Si3 0.000 0.000 0.251

Record 6
# AlSiW GGA-PBEsol relaxed
# - Total DFT energy (no corrections): -24.38 eV/cell
# - Crystal system: tetragonal
# - SG: No. 107
# - DOS at the Fermi energy: 1.51 states/eV/f.u.
data_AlSiW
_chemical_formula_sum 'Al1 Si1 W1'
_symmetry_space_group_name_H-M 'P 1'
_symmetry_Int_Tables_number 1
_cell_length_a 3.200
_cell_length_b 3.200
_cell_length_c 4.736
_cell_angle_alpha 109.75
_cell_angle_beta 109.75
_cell_angle_gamma 90.00
loop_
_symmetry_equiv_pos_as_xyz
'x,y,z'
loop_
_atom_site_label
_atom_site_fract_x
_atom_site_fract_y
_atom_site_fract_z
Si1 0.672 0.672 0.345
W1 0.326 0.326 0.651
Al1 0.002 0.002 0.004

Record 7
# AlSiW2 GGA-PBEsol relaxed
# - Total DFT energy (no corrections): -38.24 eV/cell
# - Crystal system: tetragonal
# - SG: No. 99
# - Energy relative to the lowest polymorph listed for this composition: 0.0 meV per atom
# - DOS at the Fermi energy: 1.22 states/eV/f.u.
data_AlSiW2
_chemical_formula_sum 'Al1 Si1 W2'
_symmetry_space_group_name_H-M 'P 1'
_symmetry_Int_Tables_number 1
_cell_length_a 3.190
_cell_length_b 3.190
_cell_length_c 5.677
_cell_angle_alpha 90.00
_cell_angle_beta 90.00
_cell_angle_gamma 90.00
loop_
_symmetry_equiv_pos_as_xyz
'x,y,z'
loop_
_atom_site_label
_atom_site_fract_x
_atom_site_fract_y
_atom_site_fract_z
Al1 0.000 0.000 0.505
Si1 0.500 0.500 0.752
W1 0.000 0.000 0.988
W2 0.500 0.500 0.255

Record 8
# AlSiW GGA-PBEsol relaxed
# - Total DFT energy (no corrections): -23.16 eV/cell
# - Crystal system: orthorhombic
# - SG: No. 42
# - DOS at the Fermi energy: 1.62 states/eV/f.u.
data_AlSiW
_chemical_formula_sum 'Al1 Si1 W1'
_symmetry_space_group_name_H-M 'P 1'
_symmetry_Int_Tables_number 1
_cell_length_a 2.717
_cell_length_b 2.717
_cell_length_c 6.362
_cell_angle_alpha 99.82
_cell_angle_beta 99.82
_cell_angle_gamma 101.62
loop_
_symmetry_equiv_pos_as_xyz
'x,y,z'
loop_
_atom_site_label
_atom_site_fract_x
_atom_site_fract_y
_atom_site_fract_z
Al1 0.999 0.999 0.998
W1 0.330 0.330 0.660
Si1 0.671 0.671 0.342

How do the records compare in raw formation energy? In the order shown, they have 0.37; -0.58; -0.66; -0.28; -0.41; -0.25; -0.20; 0.16 eV per atom.